Entry 1:
# GGA-PBEsol GaSnSI2, relaxed
data_GaSnSI2
_chemical_formula_sum 'Ga1 Sn1 S1 I2'
_space_group_name_H-M_alt 'P 1'
_space_group_IT_number 1
_cell_length_a 5.7288
_cell_length_b 5.7288
_cell_length_c 4.6326
_cell_angle_alpha 90.00
_cell_angle_beta 90.00
_cell_angle_gamma 90.00
loop_
_space_group_symop_operation_xyz
'x,y,z'
loop_
_atom_site_label
_atom_site_type_symbol
_atom_site_fract_x
_atom_site_fract_y
_atom_site_fract_z
Ga1 Ga 0.0000 0.0000 0.0000
Sn1 Sn 0.5000 0.5000 0.0000
S1 S 0.0000 0.0000 0.5000
I1 I 0.0000 0.5000 0.5000
I2 I 0.5000 0.0000 0.5000
# ρ: 5.18 Mg/m³
# E_form (uncorrected): 7.7 kcal/mol of atoms
# DOS(E_F): 0.586 states/eV/atom

Entry 2:
# GGA-PBEsol GaTe2SI, relaxed
data_GaTe2SI
_chemical_formula_sum 'Ga1 Te2 S1 I1'
_space_group_name_H-M_alt 'P 1'
_space_group_IT_number 1
_cell_length_a 5.3218
_cell_length_b 5.3218
_cell_length_c 5.1951
_cell_angle_alpha 90.00
_cell_angle_beta 90.00
_cell_angle_gamma 90.00
loop_
_space_group_symop_operation_xyz
'x,y,z'
loop_
_atom_site_label
_atom_site_type_symbol
_atom_site_fract_x
_atom_site_fract_y
_atom_site_fract_z
Ga1 Ga 0.0000 0.0000 0.0000
Te1 Te 0.0000 0.5000 0.0000
Te2 Te 0.5000 0.0000 0.0000
S1 S 0.5000 0.5000 0.5000
I1 I 0.0000 0.0000 0.5000
# ρ: 5.46 Mg/m³
# E_form (uncorrected): 15.3 kcal/mol of atoms
# DOS(E_F): 1.016 states/eV/atom

Entry 3:
# GGA-PBEsol ScGaSb2I, relaxed
data_ScGaSb2I
_chemical_formula_sum 'Sc1 Ga1 Sb2 I1'
_space_group_name_H-M_alt 'P 1'
_space_group_IT_number 1
_cell_length_a 5.1645
_cell_length_b 5.1645
_cell_length_c 5.5172
_cell_angle_alpha 90.00
_cell_angle_beta 90.00
_cell_angle_gamma 90.00
loop_
_space_group_symop_operation_xyz
'x,y,z'
loop_
_atom_site_label
_atom_site_type_symbol
_atom_site_fract_x
_atom_site_fract_y
_atom_site_fract_z
Sc1 Sc 0.0000 0.0000 0.0000
Ga1 Ga 0.5000 0.5000 0.5000
Sb1 Sb 0.0000 0.5000 0.5000
Sb2 Sb 0.5000 0.0000 0.5000
I1 I 0.5000 0.5000 0.0000
# ρ: 5.47 Mg/m³
# E_form (uncorrected): 7.2 kcal/mol of atoms
# DOS(E_F): 0.671 states/eV/atom

Question: Among the records above, which one has the lowest ρ?
Answer: GaSnSI2

Question: The highest DOS(E_F) belongs to which entry?
Answer: GaTe2SI

Question: Number 2 is which compound?
Answer: GaTe2SI

Question: The highest E_form (uncorrected) belongs to which entry?
Answer: GaTe2SI